Compound: LiDy2Al3Zn4
Source: Alexandria via LeMat-Bulk
Functional: GGA-PBE
Structure: relaxed

Values from the calculation:
As for the space group: P-4m2 (115). The value obtained for the formation energy is -0.31 eV per atom. The value obtained for the total DFT energy (no corrections) is -3.0542 eV/atom.

a = 4.2249 Å, b = 4.2249 Å, c = 10.5119 Å
α = 90.00°, β = 90.00°, γ = 90.00°
With the nearest neighbours (Å) after each atom.
Positions (direct):
1 Li 0.0000 0.0000 0.0000  4 Zn 2.52
2 Dy 0.0000 0.5000 0.7449  6 Al 3.19-3.41, 8 Zn 3.26-3.33, 2 Li 3.41
3 Dy 0.5000 0.0000 0.2551  6 Al 3.19-3.41, 8 Zn 3.26-3.33, 2 Li 3.41
4 Al 0.0000 0.5000 0.3618  5 Zn 2.43-2.56
5 Al 0.5000 0.0000 0.6382  5 Zn 2.43-2.56
6 Al 0.5000 0.5000 0.0000  4 Zn 2.52
7 Zn 0.0000 0.0000 0.5000  4 Al 2.56
8 Zn 0.0000 0.5000 0.1309  3 Al 2.43-2.52, 2 Li 2.52
9 Zn 0.5000 0.0000 0.8691  3 Al 2.43-2.52, 2 Li 2.52
10 Zn 0.5000 0.5000 0.5000  4 Al 2.56

Compound: TbPm6Sm2Y3
Source: Alexandria via LeMat-Bulk
Functional: GGA-PBE
Structure: relaxed

Values from the calculation:
As for the space group: C2/m (12). The value obtained for the formation energy is 0.01 eV per atom. The value obtained for the total DFT energy (no corrections) is -5.1521 eV/atom.

a = 6.2800 Å, b = 6.2800 Å, c = 11.9508 Å
α = 95.01°, β = 95.01°, γ = 120.00°
With the nearest neighbours (Å) after each atom.
Positions (direct):
1 Tb 0.0000 0.0000 0.0000  6 Pm 3.62, 6 Sm 3.63
2 Pm 0.0837 0.4166 0.2509  3 Y 3.60, 1 Tb 3.62, 2 Sm 3.62, 6 Pm 3.62-3.63
3 Pm 0.2492 0.2492 0.7489  3 Y 3.60, 1 Tb 3.62, 6 Pm 3.62-3.63, 2 Sm 3.62
4 Pm 0.4166 0.0837 0.2509  3 Y 3.60, 1 Tb 3.62, 2 Sm 3.62, 6 Pm 3.62-3.63
5 Pm 0.5834 0.9163 0.7491  3 Y 3.60, 1 Tb 3.62, 2 Sm 3.62, 6 Pm 3.62-3.63
6 Pm 0.7508 0.7508 0.2511  3 Y 3.60, 1 Tb 3.62, 6 Pm 3.62-3.63, 2 Sm 3.62
7 Pm 0.9163 0.5834 0.7491  3 Y 3.60, 1 Tb 3.62, 2 Sm 3.62, 6 Pm 3.62-3.63
8 Sm 0.3334 0.6666 0.0000  6 Pm 3.62, 3 Sm 3.62-3.63, 3 Tb 3.63
9 Sm 0.6666 0.3334 0.0000  6 Pm 3.62, 3 Sm 3.62-3.63, 3 Tb 3.63
10 Y 0.1666 0.8334 0.5000  6 Pm 3.60, 6 Y 3.62-3.63
11 Y 0.5000 0.5000 0.5000  6 Pm 3.60, 6 Y 3.63
12 Y 0.8334 0.1666 0.5000  6 Pm 3.60, 6 Y 3.62-3.63

Compound: ZnSb2AuI
Source: Alexandria via LeMat-Bulk
Functional: GGA-PBE
Structure: relaxed

Values from the calculation:
The excess energy over the best structure of this formula in the dataset comes out at 54 meV/atom. As for the space group: P4/mmm (123). The value obtained for the total DFT energy (no corrections) is -2.1842 eV/atom. As for the formation energy (no corrections): 0.69 eV/atom.

a = 5.2452 Å, b = 5.2452 Å, c = 5.4268 Å
α = 90.00°, β = 90.00°, γ = 90.00°
With the nearest neighbours (Å) after each atom.
Positions (direct):
1 Zn 0.0000 0.0000 0.0000  4 Sb 2.62, 2 I 2.71
2 Sb 0.0000 0.5000 0.0000  2 Zn 2.62
3 Sb 0.5000 0.0000 0.0000  2 Zn 2.62
4 Au 0.5000 0.5000 0.5000  4 I 3.71, 8 Sb 3.77
5 I 0.0000 0.0000 0.5000  2 Zn 2.71

Compound: Na2Be2SbO6
Source: Alexandria via LeMat-Bulk
Functional: GGA-PBE
Structure: relaxed

Values from the calculation:
As for the space group: P-3 (147). The value obtained for the total DFT energy (no corrections) is -5.7375 eV/atom. As for the formation energy (no corrections): -1.74 eV/atom.

a = 5.1726 Å, b = 5.1726 Å, c = 5.9333 Å
α = 90.00°, β = 90.00°, γ = 120.00°
With the nearest neighbours (Å) after each atom.
Positions (direct):
1 Na 0.3333 0.6667 0.3707  3 O 2.30
2 Na 0.6667 0.3333 0.6293  3 O 2.30
3 Be 0.3333 0.6667 0.8399  3 O 1.55
4 Be 0.6667 0.3333 0.1601  3 O 1.55
5 Sb 0.0000 0.0000 0.0000  6 O 2.01
6 O 0.0703 0.7241 0.8041  1 Be 1.55
7 O 0.2759 0.3461 0.8041  1 Be 1.55
8 O 0.3461 0.0703 0.1959  1 Be 1.55
9 O 0.6539 0.9297 0.8041  1 Be 1.55
10 O 0.7241 0.6539 0.1959  1 Be 1.55
11 O 0.9297 0.2759 0.1959  1 Be 1.55

Compound: Y2Er2Te2C
Source: Alexandria via LeMat-Bulk
Functional: GGA-PBE
Structure: relaxed

Values from the calculation:
As for the space group: C2/m (12). The value obtained for the total DFT energy (no corrections) is -6.2303 eV/atom. As for the formation energy (no corrections): -0.86 eV/atom.

a = 7.5214 Å, b = 7.5214 Å, c = 6.5872 Å
α = 110.44°, β = 110.44°, γ = 29.98°
With the nearest neighbours (Å) after each atom.
Positions (direct):
1 Y 0.0065 0.0065 0.2660  2 C 2.50
2 Y 0.9935 0.9935 0.7340  2 C 2.50
3 Er 0.3215 0.3215 0.3541  1 C 2.42
4 Er 0.6785 0.6785 0.6459  1 C 2.42
5 Te 0.3540 0.3540 0.8872  4 Er 3.14-3.37, 4 Y 3.22-3.30
6 Te 0.6460 0.6460 0.1128  4 Er 3.14-3.37, 4 Y 3.22-3.30
7 C 0.5000 0.5000 0.5000  2 Er 2.42, 4 Y 2.50

Compound: Nd2ZnGa3Rh4
Source: Alexandria via LeMat-Bulk
Functional: GGA-PBE
Structure: relaxed

Values from the calculation:
As for the space group: P-4m2 (115). The value obtained for the formation energy is -0.75 eV per atom. The value obtained for the total DFT energy (no corrections) is -5.6795 eV/atom.

a = 4.2834 Å, b = 4.2834 Å, c = 10.1881 Å
α = 90.00°, β = 90.00°, γ = 90.00°
With the nearest neighbours (Å) after each atom.
Positions (direct):
1 Nd 0.0000 0.5000 0.2423  6 Ga 3.26-3.39, 8 Rh 3.27-3.29, 2 Zn 3.39
2 Nd 0.5000 0.0000 0.7577  6 Ga 3.26-3.39, 8 Rh 3.27-3.29, 2 Zn 3.39
3 Zn 0.0000 0.0000 0.5000  4 Rh 2.53
4 Ga 0.0000 0.5000 0.8751  5 Rh 2.48-2.49
5 Ga 0.5000 0.0000 0.1249  5 Rh 2.48-2.49
6 Ga 0.5000 0.5000 0.5000  4 Rh 2.53
7 Rh 0.0000 0.0000 0.0000  4 Ga 2.49
8 Rh 0.0000 0.5000 0.6321  3 Ga 2.48-2.53, 2 Zn 2.53
9 Rh 0.5000 0.0000 0.3679  3 Ga 2.48-2.53, 2 Zn 2.53
10 Rh 0.5000 0.5000 0.0000  4 Ga 2.49

Compound: Hg2SbOs
Source: Alexandria via LeMat-Bulk
Functional: GGA-PBE
Structure: relaxed

Values from the calculation:
As for the space group: I-42d (122). The value obtained for the total DFT energy (no corrections) is -3.4889 eV/atom. As for the formation energy (no corrections): 0.50 eV/atom.

a = 7.8378 Å, b = 7.8378 Å, c = 7.8378 Å
α = 95.77°, β = 95.77°, γ = 143.04°
With the nearest neighbours (Å) after each atom.
Positions (direct):
1 Hg 0.3750 0.1257 0.2507  2 Os 2.70
2 Hg 0.8743 0.1250 0.2493  2 Os 2.70
3 Hg 0.8750 0.1243 0.7493  2 Os 2.70
4 Hg 0.8757 0.6250 0.7507  2 Os 2.70
5 Sb 0.2500 0.7500 0.5000  2 Os 2.48
6 Sb 0.5000 0.5000 0.0000  2 Os 2.48
7 Os 0.0000 0.0000 0.0000  2 Sb 2.48, 4 Hg 2.70
8 Os 0.7500 0.2500 0.5000  2 Sb 2.48, 4 Hg 2.70

Compound: Sr2TbCuO5
Source: Alexandria via LeMat-Bulk
Functional: GGA-PBE
Structure: relaxed

Values from the calculation:
As for the space group: Cmc2_1 (36). The value obtained for the total DFT energy (no corrections) is -6.3720 eV/atom. As for the formation energy (no corrections): -2.27 eV/atom.

a = 6.8650 Å, b = 6.8650 Å, c = 11.3550 Å
α = 90.00°, β = 90.00°, γ = 150.50°
With the nearest neighbours (Å) after each atom.
Positions (direct):
1 Sr 0.0918 0.9082 0.5000  4 O 2.44-2.49
2 Sr 0.1473 0.8527 0.1245  7 O 2.49-2.69
3 Sr 0.8527 0.1473 0.6245  7 O 2.49-2.69
4 Sr 0.9082 0.0918 0.0000  4 O 2.44-2.49
5 Tb 0.2052 0.7948 0.8399  6 O 2.19-2.35
6 Tb 0.7948 0.2052 0.3399  6 O 2.19-2.35
7 Cu 0.4809 0.5191 0.2576  5 O 1.93-2.07
8 Cu 0.5191 0.4809 0.7576  5 O 1.93-2.07
9 O 0.0405 0.9595 0.8513  2 Cu 2.07, 1 Tb 2.19
10 O 0.2750 0.7250 0.4704  2 Tb 2.31, 1 Sr 2.46
11 O 0.3361 0.6639 0.2103  1 Cu 2.00
12 O 0.3757 0.6243 0.7991  1 Cu 1.96
13 O 0.4838 0.5162 0.5924  1 Cu 1.93
14 O 0.5162 0.4838 0.0924  1 Cu 1.93
15 O 0.6243 0.3757 0.2991  1 Cu 1.96
16 O 0.6639 0.3361 0.7103  1 Cu 2.00
17 O 0.7250 0.2750 0.9704  2 Tb 2.31, 1 Sr 2.46
18 O 0.9595 0.0405 0.3513  2 Cu 2.07, 1 Tb 2.19

- Among the records above, which one has the lowest total DFT energy (no corrections)?
  Sr2TbCuO5

Please write out number 8 again, unchanged.
Compound: Sr2TbCuO5
Source: Alexandria via LeMat-Bulk
Functional: GGA-PBE
Structure: relaxed

Values from the calculation:
As for the space group: Cmc2_1 (36). The value obtained for the total DFT energy (no corrections) is -6.3720 eV/atom. As for the formation energy (no corrections): -2.27 eV/atom.

a = 6.8650 Å, b = 6.8650 Å, c = 11.3550 Å
α = 90.00°, β = 90.00°, γ = 150.50°
With the nearest neighbours (Å) after each atom.
Positions (direct):
1 Sr 0.0918 0.9082 0.5000  4 O 2.44-2.49
2 Sr 0.1473 0.8527 0.1245  7 O 2.49-2.69
3 Sr 0.8527 0.1473 0.6245  7 O 2.49-2.69
4 Sr 0.9082 0.0918 0.0000  4 O 2.44-2.49
5 Tb 0.2052 0.7948 0.8399  6 O 2.19-2.35
6 Tb 0.7948 0.2052 0.3399  6 O 2.19-2.35
7 Cu 0.4809 0.5191 0.2576  5 O 1.93-2.07
8 Cu 0.5191 0.4809 0.7576  5 O 1.93-2.07
9 O 0.0405 0.9595 0.8513  2 Cu 2.07, 1 Tb 2.19
10 O 0.2750 0.7250 0.4704  2 Tb 2.31, 1 Sr 2.46
11 O 0.3361 0.6639 0.2103  1 Cu 2.00
12 O 0.3757 0.6243 0.7991  1 Cu 1.96
13 O 0.4838 0.5162 0.5924  1 Cu 1.93
14 O 0.5162 0.4838 0.0924  1 Cu 1.93
15 O 0.6243 0.3757 0.2991  1 Cu 1.96
16 O 0.6639 0.3361 0.7103  1 Cu 2.00
17 O 0.7250 0.2750 0.9704  2 Tb 2.31, 1 Sr 2.46
18 O 0.9595 0.0405 0.3513  2 Cu 2.07, 1 Tb 2.19

- Number 5 is which compound?
  Y2Er2Te2C

- Which of these has the lowest total DFT energy (no corrections)?
  Sr2TbCuO5